First-principles (PBE with a Hubbard U) data for a geometry-optimized CuNiO2F structure, as listed in Alexandria.

Lattice parameters (Å, degrees): 3.759 3.759 3.817 90.00 90.00 90.00
Fractional positions:
Cu 0.000 0.000 0.000
Ni 0.500 0.500 0.500
O 0.000 0.500 0.500
O 0.500 0.000 0.500
F 0.500 0.500 0.000

Computed properties:
Calculated volume = 53.9 Å³ per cell
Electronic total energy = -20.32 eV for the cell shown
Symmetry = No. 123